Entry 1:
# Ac3TmSb4, optimized geometry, DFT PBE
data_Ac3TmSb4
_cell_length_a 8.1219
_cell_length_b 9.3972
_cell_length_c 8.1291
_cell_angle_alpha 90.00
_cell_angle_beta 109.52
_cell_angle_gamma 90.00
_symmetry_space_group_name_H-M 'P 1 2/c 1'
_symmetry_Int_Tables_number 13
_symmetry_space_group_name_Hall '-P 2yc'
loop_
_atom_site_label
_atom_site_type_symbol
_atom_site_fract_x
_atom_site_fract_y
_atom_site_fract_z
Ac1 Ac 0.0000 0.1234 0.2500
Ac2 Ac 0.0000 0.3718 0.7500
Ac3 Ac 0.5000 0.3727 0.2500
Tm1 Tm 0.5000 0.1230 0.7500
Sb1 Sb 0.2584 0.3656 0.5098
Sb2 Sb 0.2688 0.1151 0.9991
# DFT total energy = -5.302 eV/atom
# Energy relative to the lowest polymorph listed for this composition = 0 meV/atom
# Calculated volume = 36.55 Å³/atom
# ρ = 7.593 g/cm3
# Formation energy without anion corrections = -1.141 eV per atom

=====

Entry 2:
# AcTmSb, optimized geometry, DFT PBE
data_AcTmSb
_cell_length_a 5.2026
_cell_length_b 5.2026
_cell_length_c 4.3636
_cell_angle_alpha 90.00
_cell_angle_beta 90.00
_cell_angle_gamma 120.00
_symmetry_space_group_name_H-M 'P -6 m 2'
_symmetry_Int_Tables_number 187
_symmetry_space_group_name_Hall 'P -6 2'
loop_
_atom_site_label
_atom_site_type_symbol
_atom_site_fract_x
_atom_site_fract_y
_atom_site_fract_z
Ac1 Ac 0.0000 0.0000 0.0000
Tm1 Tm 0.6667 0.3333 0.5000
Sb1 Sb 0.3333 0.6667 0.5000
# DFT total energy = -4.713 eV/atom
# Energy relative to the lowest polymorph listed for this composition = 227 meV/atom
# Calculated volume = 34.10 Å³/atom
# ρ = 8.404 g/cm3
# Formation energy without anion corrections = -0.479 eV per atom

=====

Entry 3:
# Ac2TmSb, optimized geometry, DFT PBE
data_Ac2TmSb
_cell_length_a 5.2316
_cell_length_b 5.2316
_cell_length_c 4.9411
_cell_angle_alpha 90.00
_cell_angle_beta 90.00
_cell_angle_gamma 90.00
_symmetry_space_group_name_H-M 'P 4/m m m'
_symmetry_Int_Tables_number 123
_symmetry_space_group_name_Hall '-P 4 2'
loop_
_atom_site_label
_atom_site_type_symbol
_atom_site_fract_x
_atom_site_fract_y
_atom_site_fract_z
Ac1 Ac 0.0000 0.5000 0.0000
Tm1 Tm 0.0000 0.0000 0.5000
Sb1 Sb 0.5000 0.5000 0.5000
# DFT total energy = -4.603 eV/atom
# Energy relative to the lowest polymorph listed for this composition = 0 meV/atom
# Calculated volume = 33.81 Å³/atom
# ρ = 9.144 g/cm3
# Formation energy without anion corrections = -0.400 eV per atom

=====

Entry 4:
# Ac3TmSb4, optimized geometry, DFT PBE
data_Ac3TmSb4
_cell_length_a 9.3780
_cell_length_b 13.2595
_cell_length_c 4.6987
_cell_angle_alpha 90.00
_cell_angle_beta 90.00
_cell_angle_gamma 90.00
_symmetry_space_group_name_H-M 'C m m m'
_symmetry_Int_Tables_number 65
_symmetry_space_group_name_Hall '-C 2 2'
loop_
_atom_site_label
_atom_site_type_symbol
_atom_site_fract_x
_atom_site_fract_y
_atom_site_fract_z
Ac1 Ac 0.0000 0.0000 0.0000
Ac2 Ac 0.2500 0.2500 0.5000
Tm1 Tm 0.0000 0.5000 0.0000
Sb1 Sb 0.0000 0.2592 0.0000
Sb2 Sb 0.2325 0.5000 0.5000
# DFT total energy = -5.300 eV/atom
# Energy relative to the lowest polymorph listed for this composition = 3 meV/atom
# Calculated volume = 36.52 Å³/atom
# ρ = 7.600 g/cm3
# Formation energy without anion corrections = -1.139 eV per atom

=====

Q: Which value of calculated volume does entry 2 give?
A: 34.10 Å³/atom